# KRbAl2F8 GGA-PBE optimized geometry
data_KRbAl2F8
_cell_length_a 5.8965
_cell_length_b 5.8965
_cell_length_c 21.7430
_cell_angle_alpha 90.00
_cell_angle_beta 90.00
_cell_angle_gamma 120.00
_symmetry_space_group_name_H-M 'R -3'
_symmetry_Int_Tables_number 148
_symmetry_space_group_name_Hall '-R 3'
loop_
_atom_site_label
_atom_site_fract_x
_atom_site_fract_y
_atom_site_fract_z
K1 0.0000 0.0000 0.0000
Rb1 0.0000 0.0000 0.5000
Al1 0.0000 0.0000 0.2438
F1 0.0000 0.0000 0.1656
F2 0.0400 0.4165 0.9345
# Electronic total energy ... -5.343 eV per atom
# E_form (uncorrected) ... -3.300 eV/atom
# M_tot ... 0.02 μB per atom

# KAlSF GGA-PBE optimized geometry
data_KAlSF
_cell_length_a 3.7847
_cell_length_b 3.8272
_cell_length_c 6.0154
_cell_angle_alpha 88.10
_cell_angle_beta 79.71
_cell_angle_gamma 79.75
_symmetry_space_group_name_H-M 'P 1'
_symmetry_Int_Tables_number 1
loop_
_symmetry_equiv_pos_as_xyz
'x,y,z'
loop_
_atom_site_label
_atom_site_fract_x
_atom_site_fract_y
_atom_site_fract_z
K1 0.0000 0.0000 0.0000
Al1 0.6838 0.5469 0.5136
S1 0.3035 0.1413 0.4479
F1 0.6070 0.5539 0.8200
# Electronic total energy ... -4.393 eV per atom
# E_form (uncorrected) ... -1.683 eV/atom
# Relative energy among the computed polymorphs ... 0 meV/atom
# M_tot ... 0.00 μB per atom

# KAlSF GGA-PBE optimized geometry
data_KAlSF
_cell_length_a 3.6595
_cell_length_b 3.6123
_cell_length_c 11.9889
_cell_angle_alpha 90.00
_cell_angle_beta 90.00
_cell_angle_gamma 90.00
_symmetry_space_group_name_H-M 'A m m 2'
_symmetry_Int_Tables_number 38
loop_
_symmetry_equiv_pos_as_xyz
'x,y,z'
'-x,-y,z'
'-x,y,z'
'x,-y,z'
'x,y+1/2,z+1/2'
'-x,-y+1/2,z+1/2'
'-x,y+1/2,z+1/2'
'x,-y+1/2,z+1/2'
loop_
_atom_site_label
_atom_site_fract_x
_atom_site_fract_y
_atom_site_fract_z
K1 0.0000 0.0000 0.0000
Al1 0.5000 0.0000 0.7409
S1 0.0000 0.0000 0.2710
F1 0.5000 0.0000 0.5884
# Electronic total energy ... -4.386 eV per atom
# E_form (uncorrected) ... -1.676 eV/atom
# Relative energy among the computed polymorphs ... 7 meV/atom
# M_tot ... 0.00 μB per atom

# KSc2AlF GGA-PBE optimized geometry
data_KSc2AlF
_cell_length_a 4.5547
_cell_length_b 4.5547
_cell_length_c 6.0479
_cell_angle_alpha 90.00
_cell_angle_beta 90.00
_cell_angle_gamma 90.00
_symmetry_space_group_name_H-M 'P 4/m m m'
_symmetry_Int_Tables_number 123
_symmetry_space_group_name_Hall '-P 4 2'
loop_
_atom_site_label
_atom_site_fract_x
_atom_site_fract_y
_atom_site_fract_z
K1 0.0000 0.0000 0.0000
Sc1 0.0000 0.5000 0.5000
Al1 0.5000 0.5000 0.0000
F1 0.5000 0.5000 0.5000
# Electronic total energy ... -4.187 eV per atom
# E_form (uncorrected) ... -0.312 eV/atom
# M_tot ... 0.41 μB per atom

# KAl2SiF GGA-PBE optimized geometry
data_KAl2SiF
_cell_length_a 4.6585
_cell_length_b 4.6585
_cell_length_c 4.7587
_cell_angle_alpha 90.00
_cell_angle_beta 90.00
_cell_angle_gamma 90.00
_symmetry_space_group_name_H-M 'P 4/m m m'
_symmetry_Int_Tables_number 123
_symmetry_space_group_name_Hall '-P 4 2'
loop_
_atom_site_label
_atom_site_fract_x
_atom_site_fract_y
_atom_site_fract_z
K1 0.0000 0.0000 0.0000
Al1 0.0000 0.5000 0.5000
Si1 0.5000 0.5000 0.0000
F1 0.0000 0.0000 0.5000
# Electronic total energy ... -3.367 eV per atom
# E_form (uncorrected) ... -0.192 eV/atom
# M_tot ... 0.00 μB per atom

# KAl2SnF8 GGA-PBE optimized geometry
data_KAl2SnF8
_cell_length_a 5.0674
_cell_length_b 5.0674
_cell_length_c 29.0835
_cell_angle_alpha 90.00
_cell_angle_beta 90.00
_cell_angle_gamma 120.00
_symmetry_space_group_name_H-M 'R -3'
_symmetry_Int_Tables_number 148
_symmetry_space_group_name_Hall '-R 3'
loop_
_atom_site_label
_atom_site_fract_x
_atom_site_fract_y
_atom_site_fract_z
K1 0.0000 0.0000 0.0000
Al1 0.0000 0.0000 0.2559
Sn1 0.0000 0.0000 0.5000
F1 0.0000 0.0000 0.3148
F2 0.0071 0.6822 0.2394
# Electronic total energy ... -5.204 eV per atom
# E_form (uncorrected) ... -2.908 eV/atom
# M_tot ... 0.06 μB per atom